The following is a GGA+U calculation of crystalline Tl2GaNiF6 at its relaxed geometry, from Alexandria. Values from VASP.

Structure (Quantum ESPRESSO input):
```
&SYSTEM
  ibrav = 0, nat = 20, ntyp = 4
/
ATOMIC_SPECIES
F 19.00 F.upf
Ni 58.69 Ni.upf
Tl 204.38 Tl.upf
Ga 69.72 Ga.upf
CELL_PARAMETERS angstrom
5.710 0.000 0.000
0.000 5.706 0.000
0.000 0.000 9.692
ATOMIC_POSITIONS angstrom
F 1.376 5.656 0.000
F 1.479 2.801 4.846
Ni 0.000 4.279 4.846
Tl 0.000 1.427 7.269
F 2.855 1.426 6.753
Ga 2.855 1.426 4.846
Ni 2.855 1.427 0.000
Tl 0.000 1.427 2.423
Tl 2.855 4.279 2.423
F 4.334 2.905 0.000
F 1.479 0.050 4.846
F 4.334 5.656 0.000
F 4.231 2.801 4.846
Ga 0.000 4.281 0.000
F 0.000 4.280 1.907
Tl 2.855 4.279 7.269
F 2.855 1.426 2.939
F 4.230 0.050 4.846
F 1.376 2.905 0.000
F 0.000 4.280 7.785
```

total DFT energy (no corrections) = -41.7 eV/f.u.
space-group type = No. 139
mass density = 6.8 g cm⁻³
M_tot = 2.000 μB/cell
calculated volume = 157.89 Å³/f.u.